# LiPmAg4, relaxed, DFT GGA-PBE
# theoretical density = 7.98 g/cm3
# ΔE to the lowest computed polymorph = 81 meV/atom
# volume = 20.241 Å³/atom
# total magnetization = 0.00 μB per formula unit
# energy of formation from the pure elements = -0.119 eV/atom
data_LiPmAg4
_cell_length_a 4.5632
_cell_length_b 16.2642
_cell_length_c 6.5454
_cell_angle_alpha 90.00
_cell_angle_beta 90.00
_cell_angle_gamma 90.00
_symmetry_space_group_name_H-M 'C m c m'
_symmetry_Int_Tables_number 63
_symmetry_space_group_name_Hall '-C 2c 2'
loop_
_atom_site_label
_atom_site_type_symbol
_atom_site_fract_x
_atom_site_fract_y
_atom_site_fract_z
Li1 Li 0.0000 0.2206 0.2500
Pm1 Pm 0.0000 0.1259 0.7500
Ag1 Ag 0.0000 0.0634 0.2500
Ag2 Ag 0.0000 0.3237 0.5430
Ag3 Ag 0.0000 0.5000 0.0000

# LiPmAg2, relaxed, DFT GGA-PBE
# theoretical density = 6.94 g/cm3
# ΔE to the lowest computed polymorph = 0 meV/atom
# volume = 22.004 Å³/atom
# total magnetization = 0.00 μB per formula unit
# energy of formation from the pure elements = -0.221 eV/atom
data_LiPmAg2
_cell_length_a 4.7505
_cell_length_b 6.8057
_cell_length_c 5.4448
_cell_angle_alpha 90.00
_cell_angle_beta 90.00
_cell_angle_gamma 90.00
_symmetry_space_group_name_H-M 'P m m n'
_symmetry_Int_Tables_number 59
loop_
_symmetry_equiv_pos_as_xyz
'x,y,z'
'-x,-y,-z'
'-x+1/2,-y+1/2,z'
'x+1/2,y+1/2,-z'
'x+1/2,-y,-z'
'-x+1/2,y,z'
'-x,y+1/2,-z'
'x,-y+1/2,z'
loop_
_atom_site_label
_atom_site_type_symbol
_atom_site_fract_x
_atom_site_fract_y
_atom_site_fract_z
Li1 Li 0.2500 0.2500 0.2202
Pm1 Pm 0.2500 0.7500 0.3304
Ag1 Ag 0.2500 0.5250 0.8316

# LiPm5Ag6, relaxed, DFT GGA-PBE
# theoretical density = 7.71 g/cm3
# volume = 24.751 Å³/atom
# total magnetization = 0.00 μB per formula unit
# energy of formation from the pure elements = -0.226 eV/atom
data_LiPm5Ag6
_cell_length_a 5.2065
_cell_length_b 7.3179
_cell_length_c 15.5909
_cell_angle_alpha 90.00
_cell_angle_beta 90.00
_cell_angle_gamma 90.00
_symmetry_space_group_name_H-M 'I m m m'
_symmetry_Int_Tables_number 71
_symmetry_space_group_name_Hall '-I 2 2'
loop_
_atom_site_label
_atom_site_type_symbol
_atom_site_fract_x
_atom_site_fract_y
_atom_site_fract_z
Li1 Li 0.0000 0.0000 0.0000
Pm1 Pm 0.0000 0.0000 0.3347
Pm2 Pm 0.0000 0.5000 0.0000
Pm3 Pm 0.0000 0.5000 0.3318
Ag1 Ag 0.0000 0.2396 0.1609
Ag2 Ag 0.0000 0.2628 0.5000

# Li4Pm3Ag4, relaxed, DFT GGA-PBE
# theoretical density = 6.19 g/cm3
# ΔE to the lowest computed polymorph = 67 meV/atom
# volume = 21.824 Å³/atom
# total magnetization = 0.00 μB per formula unit
# energy of formation from the pure elements = -0.103 eV/atom
data_Li4Pm3Ag4
_cell_length_a 7.8304
_cell_length_b 7.8304
_cell_length_c 7.8304
_cell_angle_alpha 90.00
_cell_angle_beta 90.00
_cell_angle_gamma 90.00
_symmetry_space_group_name_H-M 'I -4 3 m'
_symmetry_Int_Tables_number 217
_symmetry_space_group_name_Hall 'I -4 2 3'
loop_
_atom_site_label
_atom_site_type_symbol
_atom_site_fract_x
_atom_site_fract_y
_atom_site_fract_z
Li1 Li 0.1219 0.1219 0.1219
Pm1 Pm 0.0000 0.0000 0.5000
Ag1 Ag 0.1999 0.1999 0.8001

# Li8PmAg4, relaxed, DFT GGA-PBE
# theoretical density = 4.31 g/cm3
# volume = 18.711 Å³/atom
# total magnetization = 0.06 μB per formula unit
# energy of formation from the pure elements = -0.126 eV/atom
data_Li8PmAg4
_cell_length_a 9.2763
_cell_length_b 9.2763
_cell_length_c 5.6536
_cell_angle_alpha 90.00
_cell_angle_beta 90.00
_cell_angle_gamma 90.00
_symmetry_space_group_name_H-M 'I 4/m m m'
_symmetry_Int_Tables_number 139
_symmetry_space_group_name_Hall '-I 4 2'
loop_
_atom_site_label
_atom_site_type_symbol
_atom_site_fract_x
_atom_site_fract_y
_atom_site_fract_z
Li1 Li 0.0000 0.2204 0.0000
Li2 Li 0.0000 0.3489 0.5000
Pm1 Pm 0.0000 0.0000 0.5000
Ag1 Ag 0.2500 0.2500 0.2500

# LiPm2Ag, relaxed, DFT GGA-PBE
# theoretical density = 6.38 g/cm3
# ΔE to the lowest computed polymorph = 14 meV/atom
# volume = 26.331 Å³/atom
# total magnetization = 0.33 μB per formula unit
# energy of formation from the pure elements = -0.062 eV/atom
data_LiPm2Ag
_cell_length_a 7.4966
_cell_length_b 7.4966
_cell_length_c 7.4966
_cell_angle_alpha 90.00
_cell_angle_beta 90.00
_cell_angle_gamma 90.00
_symmetry_space_group_name_H-M 'F m -3 m'
_symmetry_Int_Tables_number 225
_symmetry_space_group_name_Hall '-F 4 2 3'
loop_
_atom_site_label
_atom_site_type_symbol
_atom_site_fract_x
_atom_site_fract_y
_atom_site_fract_z
Li1 Li 0.0000 0.0000 0.0000
Pm1 Pm 0.2500 0.2500 0.2500
Ag1 Ag 0.0000 0.0000 0.5000

# Li4Pm3Ag4, relaxed, DFT GGA-PBE
# theoretical density = 6.05 g/cm3
# ΔE to the lowest computed polymorph = 0 meV/atom
# volume = 22.328 Å³/atom
# total magnetization = 0.00 μB per formula unit
# energy of formation from the pure elements = -0.170 eV/atom
data_Li4Pm3Ag4
_cell_length_a 4.2620
_cell_length_b 7.8434
_cell_length_c 14.6948
_cell_angle_alpha 90.00
_cell_angle_beta 90.00
_cell_angle_gamma 90.00
_symmetry_space_group_name_H-M 'I m m m'
_symmetry_Int_Tables_number 71
_symmetry_space_group_name_Hall '-I 2 2'
loop_
_atom_site_label
_atom_site_type_symbol
_atom_site_fract_x
_atom_site_fract_y
_atom_site_fract_z
Li1 Li 0.0000 0.1930 0.1763
Pm1 Pm 0.0000 0.0000 0.3776
Pm2 Pm 0.0000 0.5000 0.5000
Ag1 Ag 0.0000 0.3088 0.0000
Ag2 Ag 0.0000 0.5000 0.2822

# Li6PmAg12, relaxed, DFT GGA-PBE
# theoretical density = 7.05 g/cm3
# volume = 18.358 Å³/atom
# total magnetization = 0.00 μB per formula unit
# energy of formation from the pure elements = -0.051 eV/atom
data_Li6PmAg12
_cell_length_a 11.8197
_cell_length_b 11.8197
_cell_length_c 8.6486
_cell_angle_alpha 90.00
_cell_angle_beta 90.00
_cell_angle_gamma 120.00
_symmetry_space_group_name_H-M 'R -3 m'
_symmetry_Int_Tables_number 166
_symmetry_space_group_name_Hall '-R 3 2"'
loop_
_atom_site_label
_atom_site_type_symbol
_atom_site_fract_x
_atom_site_fract_y
_atom_site_fract_z
Li1 Li 0.0440 0.5220 0.2459
Pm1 Pm 0.0000 0.0000 0.0000
Ag1 Ag 0.0000 0.3825 0.5000
Ag2 Ag 0.0831 0.1662 0.3093

# LiPm2Ag6, relaxed, DFT GGA-PBE
# theoretical density = 8.14 g/cm3
# volume = 21.410 Å³/atom
# total magnetization = 0.00 μB per formula unit
# energy of formation from the pure elements = -0.173 eV/atom
data_LiPm2Ag6
_cell_length_a 6.2786
_cell_length_b 6.2786
_cell_length_c 5.6440
_cell_angle_alpha 90.00
_cell_angle_beta 90.00
_cell_angle_gamma 120.00
_symmetry_space_group_name_H-M 'P -3 m 1'
_symmetry_Int_Tables_number 164
_symmetry_space_group_name_Hall '-P 3 2"'
loop_
_atom_site_label
_atom_site_type_symbol
_atom_site_fract_x
_atom_site_fract_y
_atom_site_fract_z
Li1 Li 0.0000 0.0000 0.0000
Pm1 Pm 0.3333 0.6667 0.8284
Ag1 Ag 0.1780 0.3559 0.3130

# Li3PmAg4, relaxed, DFT GGA-PBE
# theoretical density = 6.39 g/cm3
# volume = 19.402 Å³/atom
# total magnetization = 0.00 μB per formula unit
# energy of formation from the pure elements = -0.188 eV/atom
data_Li3PmAg4
_cell_length_a 9.4702
_cell_length_b 6.6820
_cell_length_c 4.9058
_cell_angle_alpha 90.00
_cell_angle_beta 90.00
_cell_angle_gamma 90.00
_symmetry_space_group_name_H-M 'P m m a'
_symmetry_Int_Tables_number 51
loop_
_symmetry_equiv_pos_as_xyz
'x,y,z'
'-x,-y,-z'
'-x+1/2,-y,z'
'x+1/2,y,-z'
'x+1/2,-y,-z'
'-x+1/2,y,z'
'-x,y,-z'
'x,-y,z'
loop_
_atom_site_label
_atom_site_type_symbol
_atom_site_fract_x
_atom_site_fract_y
_atom_site_fract_z
Li1 Li 0.0000 0.0000 0.0000
Li2 Li 0.2500 0.0000 0.3918
Li3 Li 0.2500 0.5000 0.4692
Pm1 Pm 0.0000 0.5000 0.0000
Ag1 Ag 0.0000 0.2164 0.5000
Ag2 Ag 0.2500 0.2127 0.8875

# LiPm4Ag5, relaxed, DFT GGA-PBE
# theoretical density = 7.72 g/cm3
# volume = 24.235 Å³/atom
# total magnetization = 0.00 μB per formula unit
# energy of formation from the pure elements = -0.234 eV/atom
data_LiPm4Ag5
_cell_length_a 3.6384
_cell_length_b 3.6384
_cell_length_c 18.3069
_cell_angle_alpha 90.00
_cell_angle_beta 90.00
_cell_angle_gamma 90.00
_symmetry_space_group_name_H-M 'P 4/m m m'
_symmetry_Int_Tables_number 123
_symmetry_space_group_name_Hall '-P 4 2'
loop_
_atom_site_label
_atom_site_type_symbol
_atom_site_fract_x
_atom_site_fract_y
_atom_site_fract_z
Li1 Li 0.0000 0.0000 0.0000
Pm1 Pm 0.0000 0.0000 0.1834
Pm2 Pm 0.0000 0.0000 0.3947
Ag1 Ag 0.5000 0.5000 0.0776
Ag2 Ag 0.5000 0.5000 0.2896
Ag3 Ag 0.5000 0.5000 0.5000

# Li6Pm2Ag3, relaxed, DFT GGA-PBE
# theoretical density = 4.61 g/cm3
# volume = 21.454 Å³/atom
# total magnetization = 0.00 μB per formula unit
# energy of formation from the pure elements = -0.085 eV/atom
data_Li6Pm2Ag3
_cell_length_a 8.1246
_cell_length_b 8.1246
_cell_length_c 4.1283
_cell_angle_alpha 90.00
_cell_angle_beta 90.00
_cell_angle_gamma 120.00
_symmetry_space_group_name_H-M 'P -6 2 m'
_symmetry_Int_Tables_number 189
_symmetry_space_group_name_Hall 'P -6 -2'
loop_
_atom_site_label
_atom_site_type_symbol
_atom_site_fract_x
_atom_site_fract_y
_atom_site_fract_z
Li1 Li 0.0000 0.2628 0.0000
Li2 Li 0.0000 0.7971 0.5000
Pm1 Pm 0.3333 0.6667 0.5000
Ag1 Ag 0.0000 0.5955 0.0000